Entry 1:
Here is crystalline Ho8Pd2Au at its relaxed geometry from Alexandria. Energies are from GGA-PBE.

extended XYZ file:
```
11
Lattice="4.198 -6.624 0.000 4.198 6.624 0.000 -1.841 0.000 5.436" Properties=species:S:1:pos:R:3 pbc="T T T"
Ho 0.000 0.000 0.000
Ho 0.268 1.668 3.150
Ho 2.780 2.914 1.004
Ho 0.268 -1.668 3.150
Ho 3.484 1.668 4.221
Ho 2.780 -2.914 1.004
Ho 3.484 -1.668 4.221
Ho 5.587 0.000 1.998
Pd 1.874 3.996 3.741
Pd 1.874 -3.996 3.741
Au 2.537 0.000 1.718
```

As for the formation energy: -4.09 eV per formula unit. The energy above the lowest structure with this stoichiometry is 1.15 eV/f.u.

***

Entry 2:
Here is crystalline IrRh2Cl at its relaxed geometry from Alexandria. Energies are from GGA-PBE.

extended XYZ file:
```
4
Lattice="2.840 0.000 0.000 0.000 2.840 0.000 0.000 0.000 7.514" Properties=species:S:1:pos:R:3 pbc="T T T"
Ir 0.000 0.000 0.000
Rh 1.420 1.420 1.785
Rh 1.420 1.420 5.729
Cl 0.000 0.000 3.757
```

The energy above the lowest structure with this stoichiometry is 0.21 eV/f.u.

***

Entry 3:
Here is crystalline Ti3InBi at its relaxed geometry from Alexandria. Energies are from GGA-PBE.

extended XYZ file:
```
5
Lattice="5.072 0.000 0.000 0.000 5.072 0.000 0.000 0.000 5.072" Properties=species:S:1:pos:R:3 pbc="T T T"
Ti 0.000 0.000 2.536
Ti 0.000 2.536 0.000
Ti 2.536 0.000 0.000
In 0.000 0.000 0.000
Bi 2.536 2.536 2.536
```

As for the formation energy: 4.33 eV per formula unit. The energy above the lowest structure with this stoichiometry is 3.83 eV/f.u.

***

Entry 4:
Here is crystalline BeP4 at its relaxed geometry from Alexandria. Energies are from GGA-PBE.

extended XYZ file:
```
5
Lattice="-2.633 2.633 2.633 2.633 -2.633 2.633 2.633 2.633 -2.633" Properties=species:S:1:pos:R:3 pbc="T T T"
Be 0.000 0.000 0.000
P 1.316 1.316 -1.316
P 1.316 -1.316 1.316
P -1.316 1.316 1.316
P 1.316 1.316 1.316
```

As for the formation energy: 2.16 eV per formula unit. The energy above the lowest structure with this stoichiometry is 0.09 eV/f.u.

***

Entry 5:
Here is crystalline SrPrC2O6 at its relaxed geometry from Alexandria. Energies are from GGA-PBE.

extended XYZ file:
```
20
Lattice="4.486 -4.968 0.000 4.486 4.968 0.000 -1.884 0.000 6.161" Properties=species:S:1:pos:R:3 pbc="T T T"
Sr 3.073 3.588 4.621
Sr 4.015 -3.588 1.540
Pr 4.015 0.725 1.540
Pr 3.073 -0.725 4.621
C 0.723 1.259 4.373
C 1.665 -1.259 1.292
C 5.423 1.259 4.869
C 6.365 -1.259 1.788
O 2.632 2.739 2.173
O 0.577 0.064 3.859
O 1.519 -0.064 0.779
O 1.703 1.455 5.216
O 5.398 2.739 0.907
O 4.443 1.455 4.026
O 2.645 -1.455 2.135
O 1.690 -2.739 5.254
O 5.385 -1.455 0.946
O 5.569 0.064 5.383
O 6.511 -0.064 2.302
O 4.456 -2.739 3.988
```

The calculation puts the total energy at -7.565 eV/atom.

***

Entry 6:
Here is crystalline RbCo3P3 at its relaxed geometry from Alexandria. Energies are from GGA-PBE.

extended XYZ file:
```
14
Lattice="3.128 1.806 8.143 -3.128 1.806 8.143 0.000 -3.612 8.143" Properties=species:S:1:pos:R:3 pbc="T T T"
Rb 0.000 0.000 4.102
Rb 0.000 0.000 20.327
Co -2.182 -0.069 8.957
Co -1.031 -1.924 15.471
Co 1.151 -1.855 8.957
Co -1.151 1.855 15.471
Co 1.031 1.924 8.957
Co 2.182 0.069 15.471
P -0.922 -1.738 9.529
P -1.966 -0.071 14.900
P -1.044 1.667 9.529
P 1.044 -1.667 14.900
P 1.966 0.071 9.529
P 0.922 1.738 14.900
```

As for the formation energy: -2.92 eV per formula unit.